Entry 1:
# SmGa2P2Pt7

Crystalline SmGa2P2Pt7 at its relaxed geometry (PBE, the Alexandria database).

Calculated values
Formation enthalpy at 0 K ... -0.6009 eV/atom

Cell lengths 5.5749, 5.5832, 14.4236 Å; angles 90.00, 96.17, 90.00 degrees
Space group C2/m (No. 12)
Asymmetric unit:
Sm: 0.0000 0.0000 0.0000 (multiplicity 2)
Ga: 0.1338 0.0000 0.4248 (multiplicity 4)
P: 0.0716 0.5000 0.2519 (multiplicity 4)
Pt: 0.0000 0.5000 0.0000 (multiplicity 2)
Pt: 0.0933 0.5000 0.4101 (multiplicity 4)
Pt: 0.2038 0.2502 0.8402 (multiplicity 8)



Entry 2:
# SrZr2As

Crystalline SrZr2As at its relaxed geometry (PBE, the Alexandria database).

Calculated values
Formation enthalpy at 0 K ... 0.0899 eV/atom

Cell lengths 6.3338, 10.9171, 3.3021 Å; angles 90.00, 121.02, 90.00 degrees
Space group C2/m (No. 12)
Asymmetric unit:
Sr: 0.0000 0.0000 0.0000 (multiplicity 2)
Zr: 0.2500 0.2500 0.5000 (multiplicity 4)
As: 0.0000 0.5000 0.0000 (multiplicity 2)



Entry 3:
# BiSb2Br6

Crystalline BiSb2Br6 at its relaxed geometry (PBE, the Alexandria database).

Calculated values
E_form (uncorrected) ... -0.407 eV/atom

Cell lengths 8.2278, 8.2278, 19.3825 Å; angles 90.00, 90.00, 120.00 degrees
Space group R3 (No. 146, hexagonal axes)
Asymmetric unit:
Bi: 0.0000 0.0000 0.0000 (multiplicity 3)
Sb: 0.0000 0.0000 0.5890 (multiplicity 3)
Sb: 0.0000 0.0000 0.7399 (multiplicity 3)
Br: 0.0254 0.6703 0.7434 (multiplicity 9)
Br: 0.0415 0.3619 0.5843 (multiplicity 9)



Entry 4:
# Pm2HoEr5In

Crystalline Pm2HoEr5In at its relaxed geometry (PBE, the Alexandria database).

Calculated values
Formation enthalpy at 0 K ... -0.0096 eV/atom

Cell lengths 5.3181, 20.2499, 10.4222 Å; angles 90.00, 90.00, 90.00 degrees
Space group Cmcm (No. 63)
Asymmetric unit:
Pm: 0.0000 0.1164 0.0387 (multiplicity 8)
Ho: 0.0000 0.2091 0.7500 (multiplicity 4)
Er: 0.0000 0.0104 0.7500 (multiplicity 4)
Er: 0.0000 0.2883 0.0530 (multiplicity 8)
Er: 0.0000 0.3834 0.7500 (multiplicity 4)
Er: 0.0000 0.5000 0.0000 (multiplicity 4)
In: 0.0000 0.4039 0.2500 (multiplicity 4)



no.,E (eV/atom)
1,-5.92
2,-5.77
3,-2.87
4,-4.41